Record 1
# GGA-PBEsol BaCa2Al, optimized geometry
data_BaCa2Al
_chemical_formula_sum 'Ba1 Ca2 Al1'
_symmetry_space_group_name_H-M 'P 1'
_symmetry_Int_Tables_number 1
_cell_length_a 3.946
_cell_length_b 3.946
_cell_length_c 9.429
_cell_angle_alpha 90.00
_cell_angle_beta 90.00
_cell_angle_gamma 90.00
loop_
_symmetry_equiv_pos_as_xyz
'x,y,z'
loop_
_atom_site_label
_atom_site_type_symbol
_atom_site_fract_x
_atom_site_fract_y
_atom_site_fract_z
Ca1 Ca 0.500 0.500 0.693
Ca2 Ca 0.000 0.000 0.968
Al1 Al 0.000 0.000 0.534
Ba1 Ba 0.500 0.500 0.305
# Fermi-level density of states: 2.71 states/eV per cell
# total energy: -2.691 eV per atom
# total magnetization: 0.00 μB per cell



Record 2
# GGA-PBEsol LiSbI2N, optimized geometry
data_LiSbI2N
_chemical_formula_sum 'Li1 Sb1 I2 N1'
_symmetry_space_group_name_H-M 'P 1'
_symmetry_Int_Tables_number 1
_cell_length_a 4.200
_cell_length_b 5.628
_cell_length_c 5.628
_cell_angle_alpha 90.00
_cell_angle_beta 90.00
_cell_angle_gamma 90.00
loop_
_symmetry_equiv_pos_as_xyz
'x,y,z'
loop_
_atom_site_label
_atom_site_type_symbol
_atom_site_fract_x
_atom_site_fract_y
_atom_site_fract_z
N1 N 0.000 0.000 0.000
Li1 Li 0.500 0.500 0.500
I1 I 0.000 0.500 0.000
I2 I 0.000 0.000 0.500
Sb1 Sb 0.500 0.000 0.000
# Fermi-level density of states: 1.88 states/eV per cell
# energy above the lowest structure with this stoichiometry: 27.6 kJ/mol of atoms
# total energy: -3.277 eV per atom
# total magnetization: 0.00 μB per cell



Record 3
# GGA-PBEsol YCd20Ni2, optimized geometry
data_YCd20Ni2
_chemical_formula_sum 'Y2 Cd40 Ni4'
_symmetry_space_group_name_H-M 'P 1'
_symmetry_Int_Tables_number 1
_cell_length_a 10.866
_cell_length_b 10.866
_cell_length_c 10.866
_cell_angle_alpha 60.00
_cell_angle_beta 60.00
_cell_angle_gamma 60.00
loop_
_symmetry_equiv_pos_as_xyz
'x,y,z'
loop_
_atom_site_label
_atom_site_type_symbol
_atom_site_fract_x
_atom_site_fract_y
_atom_site_fract_z
Cd1 Cd 0.801 0.801 0.329
Y1 Y 0.250 0.250 0.250
Cd2 Cd 0.637 0.363 0.363
Cd3 Cd 0.801 0.801 0.069
Cd4 Cd 0.363 0.637 0.363
Cd5 Cd 0.887 0.613 0.613
Ni1 Ni 0.625 0.625 0.625
Cd6 Cd 0.801 0.329 0.069
Cd7 Cd 0.449 0.449 0.921
Ni2 Ni 0.625 0.625 0.125
Cd8 Cd 0.449 0.921 0.449
Cd9 Cd 0.363 0.363 0.637
Cd10 Cd 0.887 0.887 0.613
Cd11 Cd 0.801 0.329 0.801
Cd12 Cd 0.069 0.801 0.801
Cd13 Cd 0.449 0.181 0.921
Cd14 Cd 0.181 0.449 0.921
Cd15 Cd 0.449 0.449 0.181
Cd16 Cd 0.801 0.069 0.329
Cd17 Cd 0.329 0.801 0.801
Ni3 Ni 0.125 0.625 0.625
Cd18 Cd 0.069 0.329 0.801
Cd19 Cd 0.625 0.125 0.125
Cd20 Cd 0.921 0.449 0.181
Y2 Y 0.000 0.000 0.000
Cd21 Cd 0.921 0.181 0.449
Cd22 Cd 0.637 0.363 0.637
Cd23 Cd 0.613 0.887 0.613
Cd24 Cd 0.329 0.069 0.801
Cd25 Cd 0.125 0.125 0.125
Cd26 Cd 0.329 0.801 0.069
Cd27 Cd 0.801 0.069 0.801
Cd28 Cd 0.069 0.801 0.329
Cd29 Cd 0.363 0.637 0.637
Cd30 Cd 0.181 0.921 0.449
Cd31 Cd 0.449 0.921 0.181
Ni4 Ni 0.625 0.125 0.625
Cd32 Cd 0.613 0.613 0.887
Cd33 Cd 0.125 0.625 0.125
Cd34 Cd 0.921 0.449 0.449
Cd35 Cd 0.637 0.637 0.363
Cd36 Cd 0.449 0.181 0.449
Cd37 Cd 0.887 0.613 0.887
Cd38 Cd 0.125 0.125 0.625
Cd39 Cd 0.181 0.449 0.449
Cd40 Cd 0.613 0.887 0.887
# Fermi-level density of states: 14.43 states/eV per cell
# total energy: -1.981 eV per atom
# total magnetization: 0.00 μB per cell



Record 4
# GGA-PBEsol HfSi3N, optimized geometry
data_HfSi3N
_chemical_formula_sum 'Hf1 Si3 N1'
_symmetry_space_group_name_H-M 'P 1'
_symmetry_Int_Tables_number 1
_cell_length_a 4.042
_cell_length_b 4.042
_cell_length_c 4.042
_cell_angle_alpha 90.00
_cell_angle_beta 90.00
_cell_angle_gamma 90.00
loop_
_symmetry_equiv_pos_as_xyz
'x,y,z'
loop_
_atom_site_label
_atom_site_type_symbol
_atom_site_fract_x
_atom_site_fract_y
_atom_site_fract_z
Hf1 Hf 0.500 0.500 0.500
Si1 Si 0.000 0.500 0.000
N1 N 0.000 0.000 0.000
Si2 Si 0.000 0.000 0.500
Si3 Si 0.500 0.000 0.000
# Fermi-level density of states: 1.63 states/eV per cell
# total energy: -7.197 eV per atom
# total magnetization: 0.00 μB per cell



Record 5
# GGA-PBEsol KBSb2C, optimized geometry
data_KBSb2C
_chemical_formula_sum 'K1 B1 Sb2 C1'
_symmetry_space_group_name_H-M 'P 1'
_symmetry_Int_Tables_number 1
_cell_length_a 4.731
_cell_length_b 5.746
_cell_length_c 5.746
_cell_angle_alpha 90.00
_cell_angle_beta 90.00
_cell_angle_gamma 90.00
loop_
_symmetry_equiv_pos_as_xyz
'x,y,z'
loop_
_atom_site_label
_atom_site_type_symbol
_atom_site_fract_x
_atom_site_fract_y
_atom_site_fract_z
B1 B 0.500 0.000 0.000
Sb1 Sb 0.000 0.000 0.500
Sb2 Sb 0.000 0.500 0.000
C1 C 0.500 0.500 0.500
K1 K 0.000 0.000 0.000
# Fermi-level density of states: 5.61 states/eV per cell
# total energy: -2.046 eV per atom
# total magnetization: 0.38 μB per cell



Record 6
# GGA-PBEsol TcP2Os, optimized geometry
data_TcP2Os
_chemical_formula_sum 'Tc1 P2 Os1'
_symmetry_space_group_name_H-M 'P 1'
_symmetry_Int_Tables_number 1
_cell_length_a 3.463
_cell_length_b 3.463
_cell_length_c 5.029
_cell_angle_alpha 110.14
_cell_angle_beta 110.14
_cell_angle_gamma 90.00
loop_
_symmetry_equiv_pos_as_xyz
'x,y,z'
loop_
_atom_site_label
_atom_site_type_symbol
_atom_site_fract_x
_atom_site_fract_y
_atom_site_fract_z
Os1 Os 0.250 0.750 0.500
P1 P 0.000 0.000 0.000
Tc1 Tc 0.500 0.500 0.000
P2 P 0.750 0.250 0.500
# Fermi-level density of states: 3.76 states/eV per cell
# energy above the lowest structure with this stoichiometry: 36.9 kJ/mol of atoms
# total energy: -8.584 eV per atom
# total magnetization: 0.01 μB per cell



Record 7
# GGA-PBEsol AsRhBr, optimized geometry
data_AsRhBr
_chemical_formula_sum 'As1 Rh1 Br1'
_symmetry_space_group_name_H-M 'P 1'
_symmetry_Int_Tables_number 1
_cell_length_a 4.326
_cell_length_b 4.326
_cell_length_c 4.326
_cell_angle_alpha 60.00
_cell_angle_beta 60.00
_cell_angle_gamma 60.00
loop_
_symmetry_equiv_pos_as_xyz
'x,y,z'
loop_
_atom_site_label
_atom_site_type_symbol
_atom_site_fract_x
_atom_site_fract_y
_atom_site_fract_z
Rh1 Rh 0.250 0.250 0.250
Br1 Br 0.500 0.500 0.500
As1 As 0.000 0.000 0.000
# Fermi-level density of states: 1.08 states/eV per cell
# energy above the lowest structure with this stoichiometry: 26.7 kJ/mol of atoms
# total energy: -5.004 eV per atom
# total magnetization: 0.00 μB per cell



Record 8
# GGA-PBEsol Cs2Ti2Tl, optimized geometry
data_Cs2Ti2Tl
_chemical_formula_sum 'Cs2 Ti2 Tl1'
_symmetry_space_group_name_H-M 'P 1'
_symmetry_Int_Tables_number 1
_cell_length_a 4.488
_cell_length_b 4.488
_cell_length_c 8.626
_cell_angle_alpha 105.08
_cell_angle_beta 105.08
_cell_angle_gamma 90.00
loop_
_symmetry_equiv_pos_as_xyz
'x,y,z'
loop_
_atom_site_label
_atom_site_type_symbol
_atom_site_fract_x
_atom_site_fract_y
_atom_site_fract_z
Ti1 Ti 0.562 0.562 0.125
Cs1 Cs 0.250 0.750 0.500
Tl1 Tl 0.000 0.000 0.000
Cs2 Cs 0.750 0.250 0.500
Ti2 Ti 0.438 0.438 0.875
# Fermi-level density of states: 7.98 states/eV per cell
# total energy: -3.152 eV per atom
# total magnetization: 0.01 μB per cell



Record 9
# GGA-PBEsol Nb9As7Pd, optimized geometry
data_Nb9As7Pd
_chemical_formula_sum 'Nb27 As21 Pd3'
_symmetry_space_group_name_H-M 'P 1'
_symmetry_Int_Tables_number 1
_cell_length_a 3.569
_cell_length_b 16.575
_cell_length_c 16.575
_cell_angle_alpha 120.00
_cell_angle_beta 90.00
_cell_angle_gamma 90.00
loop_
_symmetry_equiv_pos_as_xyz
'x,y,z'
loop_
_atom_site_label
_atom_site_type_symbol
_atom_site_fract_x
_atom_site_fract_y
_atom_site_fract_z
As1 As 0.000 0.194 0.927
Pd1 Pd 0.500 0.155 0.005
As2 As 0.500 0.885 0.512
As3 As 0.000 0.116 0.488
Nb1 Nb 0.000 0.577 0.505
As4 As 0.000 0.732 0.806
Nb2 Nb 0.500 0.112 0.797
Pd2 Pd 0.500 0.850 0.845
As5 As 0.000 0.073 0.268
Nb3 Nb 0.000 0.355 0.325
Nb4 Nb 0.500 0.287 0.754
Nb5 Nb 0.000 0.799 0.683
Nb6 Nb 0.500 0.505 0.928
Nb7 Nb 0.500 0.072 0.577
As6 As 0.500 0.627 0.115
Nb8 Nb 0.500 0.644 0.675
Nb9 Nb 0.500 0.246 0.534
Pd3 Pd 0.500 0.995 0.150
As7 As 0.500 0.488 0.373
Nb10 Nb 0.000 0.884 0.201
As8 As 0.500 0.710 0.553
As9 As 0.500 0.843 0.290
Nb11 Nb 0.000 0.870 0.996
As10 As 0.500 0.667 0.333
As11 As 0.000 0.290 0.447
Nb12 Nb 0.000 0.534 0.288
Nb13 Nb 0.500 0.203 0.315
As12 As 0.000 0.373 0.884
Nb14 Nb 0.500 0.325 0.970
Nb15 Nb 0.000 0.928 0.423
As13 As 0.000 0.333 0.667
Nb16 Nb 0.500 0.685 0.888
Nb17 Nb 0.500 0.423 0.495
Nb18 Nb 0.000 0.754 0.466
Nb19 Nb 0.000 0.317 0.116
As14 As 0.000 0.553 0.843
Nb20 Nb 0.000 0.712 0.246
As15 As 0.500 0.263 0.193
As16 As 0.500 0.447 0.157
Nb21 Nb 0.000 0.126 0.130
Nb22 Nb 0.500 0.466 0.713
Nb23 Nb 0.000 0.970 0.645
As17 As 0.000 0.157 0.710
As18 As 0.000 0.512 0.627
Nb24 Nb 0.500 0.030 0.356
As19 As 0.500 0.930 0.737
Nb25 Nb 0.000 0.675 0.030
As20 As 0.500 0.000 0.000
As21 As 0.500 0.807 0.070
Nb26 Nb 0.000 0.495 0.072
Nb27 Nb 0.000 0.004 0.874
# Fermi-level density of states: 24.19 states/eV per cell
# total energy: -8.839 eV per atom
# total magnetization: 0.00 μB per cell



Record 10
# GGA-PBEsol In2SbRh, optimized geometry
data_In2SbRh
_chemical_formula_sum 'In2 Sb1 Rh1'
_symmetry_space_group_name_H-M 'P 1'
_symmetry_Int_Tables_number 1
_cell_length_a 3.108
_cell_length_b 5.096
_cell_length_c 6.494
_cell_angle_alpha 111.96
_cell_angle_beta 90.00
_cell_angle_gamma 107.76
loop_
_symmetry_equiv_pos_as_xyz
'x,y,z'
loop_
_atom_site_label
_atom_site_type_symbol
_atom_site_fract_x
_atom_site_fract_y
_atom_site_fract_z
Rh1 Rh 0.541 0.082 0.383
In1 In 0.810 0.620 0.368
Sb1 Sb 0.166 0.332 0.739
In2 In 0.983 0.966 0.009
# Fermi-level density of states: 1.31 states/eV per cell
# total energy: -4.883 eV per atom
# total magnetization: 0.00 μB per cell



Record 11
# GGA-PBEsol ZrTlF5, optimized geometry
data_ZrTlF5
_chemical_formula_sum 'Zr4 Tl4 F20'
_symmetry_space_group_name_H-M 'P 1'
_symmetry_Int_Tables_number 1
_cell_length_a 7.178
_cell_length_b 7.930
_cell_length_c 7.939
_cell_angle_alpha 90.00
_cell_angle_beta 90.00
_cell_angle_gamma 113.86
loop_
_symmetry_equiv_pos_as_xyz
'x,y,z'
loop_
_atom_site_label
_atom_site_type_symbol
_atom_site_fract_x
_atom_site_fract_y
_atom_site_fract_z
F1 F 0.786 0.328 0.705
F2 F 0.501 0.290 0.434
F3 F 0.512 0.566 0.290
F4 F 0.680 0.563 0.996
Zr1 Zr 0.510 0.839 0.338
F5 F 0.488 0.434 0.710
F6 F 0.804 0.893 0.292
Tl1 Tl 0.934 0.694 0.540
F7 F 0.196 0.107 0.708
F8 F 0.196 0.607 0.792
F9 F 0.488 0.934 0.790
F10 F 0.804 0.393 0.208
F11 F 0.214 0.172 0.205
F12 F 0.499 0.210 0.934
Tl2 Tl 0.066 0.306 0.460
F13 F 0.501 0.790 0.066
F14 F 0.512 0.066 0.210
Tl3 Tl 0.934 0.194 0.960
F15 F 0.499 0.710 0.566
Tl4 Tl 0.066 0.806 0.040
Zr2 Zr 0.510 0.339 0.162
F16 F 0.320 0.937 0.496
F17 F 0.320 0.437 0.004
F18 F 0.680 0.063 0.504
Zr3 Zr 0.490 0.161 0.662
F19 F 0.214 0.672 0.295
F20 F 0.786 0.828 0.795
Zr4 Zr 0.490 0.661 0.838
# Fermi-level density of states: 0.00 states/eV per cell
# total energy: -6.278 eV per atom
# total magnetization: 0.00 μB per cell



Record 12
# GGA-PBEsol Lu2B6Rh, optimized geometry
data_Lu2B6Rh
_chemical_formula_sum 'Lu8 B24 Rh4'
_symmetry_space_group_name_H-M 'P 1'
_symmetry_Int_Tables_number 1
_cell_length_a 3.532
_cell_length_b 9.002
_cell_length_c 11.311
_cell_angle_alpha 90.00
_cell_angle_beta 90.00
_cell_angle_gamma 90.00
loop_
_symmetry_equiv_pos_as_xyz
'x,y,z'
loop_
_atom_site_label
_atom_site_type_symbol
_atom_site_fract_x
_atom_site_fract_y
_atom_site_fract_z
Lu1 Lu 0.500 0.821 0.086
B1 B 0.000 0.132 0.317
Rh1 Rh 0.500 0.140 0.180
B2 B 0.000 0.053 0.065
Lu2 Lu 0.500 0.179 0.914
Lu3 Lu 0.500 0.056 0.627
B3 B 0.000 0.706 0.764
B4 B 0.000 0.107 0.471
Lu4 Lu 0.500 0.444 0.127
B5 B 0.000 0.393 0.971
B6 B 0.000 0.368 0.817
Rh2 Rh 0.500 0.360 0.680
B7 B 0.000 0.519 0.713
B8 B 0.000 0.607 0.029
B9 B 0.000 0.250 0.079
B10 B 0.000 0.553 0.435
Lu5 Lu 0.500 0.556 0.873
B11 B 0.000 0.750 0.421
Lu6 Lu 0.500 0.679 0.586
B12 B 0.000 0.250 0.579
Rh3 Rh 0.500 0.860 0.820
B13 B 0.000 0.893 0.529
B14 B 0.000 0.981 0.213
B15 B 0.000 0.947 0.935
B16 B 0.000 0.750 0.921
Rh4 Rh 0.500 0.640 0.320
B17 B 0.000 0.481 0.287
B18 B 0.000 0.019 0.787
B19 B 0.000 0.794 0.264
B20 B 0.000 0.632 0.183
B21 B 0.000 0.294 0.236
B22 B 0.000 0.447 0.565
Lu7 Lu 0.500 0.321 0.414
B23 B 0.000 0.868 0.683
Lu8 Lu 0.500 0.944 0.373
B24 B 0.000 0.206 0.736
# Fermi-level density of states: 10.13 states/eV per cell
# total energy: -7.430 eV per atom
# total magnetization: 0.00 μB per cell



Look up the Fermi-level density of states of the seventh one.
1.08 states/eV per cell



Repeat the third record exactly.
# GGA-PBEsol YCd20Ni2, optimized geometry
data_YCd20Ni2
_chemical_formula_sum 'Y2 Cd40 Ni4'
_symmetry_space_group_name_H-M 'P 1'
_symmetry_Int_Tables_number 1
_cell_length_a 10.866
_cell_length_b 10.866
_cell_length_c 10.866
_cell_angle_alpha 60.00
_cell_angle_beta 60.00
_cell_angle_gamma 60.00
loop_
_symmetry_equiv_pos_as_xyz
'x,y,z'
loop_
_atom_site_label
_atom_site_type_symbol
_atom_site_fract_x
_atom_site_fract_y
_atom_site_fract_z
Cd1 Cd 0.801 0.801 0.329
Y1 Y 0.250 0.250 0.250
Cd2 Cd 0.637 0.363 0.363
Cd3 Cd 0.801 0.801 0.069
Cd4 Cd 0.363 0.637 0.363
Cd5 Cd 0.887 0.613 0.613
Ni1 Ni 0.625 0.625 0.625
Cd6 Cd 0.801 0.329 0.069
Cd7 Cd 0.449 0.449 0.921
Ni2 Ni 0.625 0.625 0.125
Cd8 Cd 0.449 0.921 0.449
Cd9 Cd 0.363 0.363 0.637
Cd10 Cd 0.887 0.887 0.613
Cd11 Cd 0.801 0.329 0.801
Cd12 Cd 0.069 0.801 0.801
Cd13 Cd 0.449 0.181 0.921
Cd14 Cd 0.181 0.449 0.921
Cd15 Cd 0.449 0.449 0.181
Cd16 Cd 0.801 0.069 0.329
Cd17 Cd 0.329 0.801 0.801
Ni3 Ni 0.125 0.625 0.625
Cd18 Cd 0.069 0.329 0.801
Cd19 Cd 0.625 0.125 0.125
Cd20 Cd 0.921 0.449 0.181
Y2 Y 0.000 0.000 0.000
Cd21 Cd 0.921 0.181 0.449
Cd22 Cd 0.637 0.363 0.637
Cd23 Cd 0.613 0.887 0.613
Cd24 Cd 0.329 0.069 0.801
Cd25 Cd 0.125 0.125 0.125
Cd26 Cd 0.329 0.801 0.069
Cd27 Cd 0.801 0.069 0.801
Cd28 Cd 0.069 0.801 0.329
Cd29 Cd 0.363 0.637 0.637
Cd30 Cd 0.181 0.921 0.449
Cd31 Cd 0.449 0.921 0.181
Ni4 Ni 0.625 0.125 0.625
Cd32 Cd 0.613 0.613 0.887
Cd33 Cd 0.125 0.625 0.125
Cd34 Cd 0.921 0.449 0.449
Cd35 Cd 0.637 0.637 0.363
Cd36 Cd 0.449 0.181 0.449
Cd37 Cd 0.887 0.613 0.887
Cd38 Cd 0.125 0.125 0.625
Cd39 Cd 0.181 0.449 0.449
Cd40 Cd 0.613 0.887 0.887
# Fermi-level density of states: 14.43 states/eV per cell
# total energy: -1.981 eV per atom
# total magnetization: 0.00 μB per cell



Which formula does entry 10 have?
In2SbRh